Compound: Ca3MoP
Source: Alexandria
Functional: GGA-PBE
Structure: optimized geometry

Output
DOS(E_F): 1.1899 states/eV/atom
Magnetic moment: 0.000 Bohr magnetons per cell
Offset from the most stable computed form: 642 meV/atom
DFT formation energy: 86.5 kJ/mol of atoms

```
data_Ca3MoP
_cell_length_a 5.2627
_cell_length_b 5.2627
_cell_length_c 5.2627
_cell_angle_alpha 90.00
_cell_angle_beta 90.00
_cell_angle_gamma 90.00
_symmetry_space_group_name_H-M 'P m -3 m'
_symmetry_Int_Tables_number 221
_symmetry_space_group_name_Hall '-P 4 2 3'
loop_
_atom_site_label
_atom_site_type_symbol
_atom_site_fract_x
_atom_site_fract_y
_atom_site_fract_z
_atom_site_occupancy
Ca1 Ca 0.0000 0.0000 0.5000 1
Mo1 Mo 0.0000 0.0000 0.0000 1
P1 P 0.5000 0.5000 0.5000 1
```